Version one
{
  "formula": "LiTaNF2",
  "functional": "PBE",
  "state": "relaxed",
  "magnetic_moment_mub_per_atom": 0.0000,
  "n_ef_per_ev_atom": 0.2935,
  "cell": [[-1.202, 1.212, 2.756], [-1.455, -2.832, 0.612], [3.635, -1.393, 2.197]],
  "species": ["N", "F", "F", "Li", "Ta"],
  "fractional_positions": [[0.000, 0.000, 0.500], [0.000, 0.500, 0.000], [0.500, 0.000, 0.000], [0.000, 0.000, 0.000], [0.500, 0.500, 0.500]]
}



Version two
{
  "formula": "LiTaNF2",
  "functional": "PBE",
  "state": "relaxed",
  "magnetic_moment_mub_per_atom": 0.0000,
  "n_ef_per_ev_atom": 0.4071,
  "cell": [[-0.245, 1.882, -3.697], [-2.039, -3.279, -1.534], [-3.492, 1.667, 1.080]],
  "species": ["N", "F", "F", "Li", "Ta"],
  "fractional_positions": [[0.000, 0.000, 0.500], [0.000, 0.500, 0.000], [0.500, 0.000, 0.000], [0.500, 0.500, 0.500], [0.000, 0.000, 0.000]]
}



The data favor version two; the next most stable structure lies 362 meV/atom above it.



Version one
{
  "formula": "LiTaN2F",
  "functional": "PBE",
  "state": "relaxed",
  "magnetic_moment_mub_per_atom": 0.0987,
  "n_ef_per_ev_atom": 0.2059,
  "cell": [[3.670, 0.000, 0.000], [0.000, 3.670, 0.000], [0.000, 0.000, 3.213]],
  "species": ["N", "N", "F", "Li", "Ta"],
  "fractional_positions": [[0.000, 0.500, 0.000], [0.500, 0.000, 0.000], [0.000, 0.000, 0.500], [0.000, 0.000, 0.000], [0.500, 0.500, 0.500]]
}



Version two
{
  "formula": "LiTaN2F",
  "functional": "PBE",
  "state": "relaxed",
  "magnetic_moment_mub_per_atom": 0.0800,
  "n_ef_per_ev_atom": 0.2872,
  "cell": [[4.032, 0.000, 0.000], [0.000, 4.032, 0.000], [0.000, 0.000, 4.128]],
  "species": ["N", "N", "F", "Li", "Ta"],
  "fractional_positions": [[0.000, 0.500, 0.000], [0.500, 0.000, 0.000], [0.000, 0.000, 0.500], [0.500, 0.500, 0.500], [0.000, 0.000, 0.000]]
}



The data favor version two; the next most stable structure lies 940 meV/atom above it.



Version one
{
  "formula": "LiTcN2F",
  "functional": "PBE",
  "state": "relaxed",
  "magnetic_moment_mub_per_atom": 0.0002,
  "n_ef_per_ev_atom": 1.0242,
  "cell": [[3.739, 0.000, 0.000], [0.000, 3.739, 0.000], [0.000, 0.000, 3.147]],
  "species": ["N", "N", "Li", "Tc", "F"],
  "fractional_positions": [[0.000, 0.500, 0.000], [0.500, 0.000, 0.000], [0.000, 0.000, 0.000], [0.500, 0.500, 0.500], [0.000, 0.000, 0.500]]
}



Version two
{
  "formula": "LiTcN2F",
  "functional": "PBE",
  "state": "relaxed",
  "magnetic_moment_mub_per_atom": 0.0000,
  "n_ef_per_ev_atom": 0.6469,
  "cell": [[3.832, 0.000, 0.000], [0.000, 3.832, 0.000], [0.000, 0.000, 4.231]],
  "species": ["N", "N", "Li", "Tc", "F"],
  "fractional_positions": [[0.000, 0.500, 0.000], [0.500, 0.000, 0.000], [0.500, 0.500, 0.500], [0.000, 0.000, 0.000], [0.000, 0.000, 0.500]]
}



The data favor version two; the next most stable structure lies 1289 meV/atom above it.



Version one
{
  "formula": "LiTcNF2",
  "functional": "PBE",
  "state": "relaxed",
  "magnetic_moment_mub_per_atom": 0.1530,
  "n_ef_per_ev_atom": 0.6641,
  "cell": [[-3.701, -1.347, 1.466], [1.903, -3.304, 1.768], [0.528, 2.001, 3.172]],
  "species": ["N", "Li", "Tc", "F", "F"],
  "fractional_positions": [[0.000, 0.000, 0.500], [0.500, 0.500, 0.500], [0.000, 0.000, 0.000], [0.000, 0.500, 0.000], [0.500, 0.000, 0.000]]
}



Version two
{
  "formula": "LiTcNF2",
  "functional": "PBE",
  "state": "relaxed",
  "magnetic_moment_mub_per_atom": 0.5459,
  "n_ef_per_ev_atom": 0.3299,
  "cell": [[3.333, 0.000, 0.000], [0.000, 3.333, 0.000], [0.000, 0.000, 4.432]],
  "species": ["N", "Li", "Tc", "F", "F"],
  "fractional_positions": [[0.000, 0.000, 0.500], [0.000, 0.000, 0.000], [0.500, 0.500, 0.500], [0.000, 0.500, 0.000], [0.500, 0.000, 0.000]]
}



The data favor version one; the next most stable structure lies 555 meV/atom above it.



Version one
{
  "formula": "LiTiN2F",
  "functional": "PBE",
  "state": "relaxed",
  "magnetic_moment_mub_per_atom": 0.0000,
  "n_ef_per_ev_atom": 0.4345,
  "cell": [[-1.690, 0.052, -3.494], [2.775, -2.339, -1.377], [-2.243, -3.271, 1.036]],
  "species": ["N", "N", "F", "Li", "Ti"],
  "fractional_positions": [[0.000, 0.500, 0.000], [0.500, 0.000, 0.000], [0.000, 0.000, 0.500], [0.500, 0.500, 0.500], [0.000, 0.000, 0.000]]
}



Version two
{
  "formula": "LiTiN2F",
  "functional": "PBE",
  "state": "relaxed",
  "magnetic_moment_mub_per_atom": 0.0000,
  "n_ef_per_ev_atom": 0.4656,
  "cell": [[-0.803, 3.434, -0.719], [0.525, -0.612, -3.508], [-3.250, -0.831, -0.341]],
  "species": ["N", "N", "F", "Li", "Ti"],
  "fractional_positions": [[0.000, 0.500, 0.000], [0.500, 0.000, 0.000], [0.000, 0.000, 0.500], [0.000, 0.000, 0.000], [0.500, 0.500, 0.500]]
}



The data favor version one; the next most stable structure lies 821 meV/atom above it.



Version one
{
  "formula": "LiTlNF2",
  "functional": "PBE",
  "state": "relaxed",
  "magnetic_moment_mub_per_atom": 0.2555,
  "n_ef_per_ev_atom": 0.1280,
  "cell": [[3.650, 0.000, 0.000], [0.000, 3.650, 0.000], [0.000, 0.000, 4.421]],
  "species": ["Tl", "N", "Li", "F", "F"],
  "fractional_positions": [[0.500, 0.500, 0.500], [0.000, 0.000, 0.500], [0.000, 0.000, 0.000], [0.000, 0.500, 0.000], [0.500, 0.000, 0.000]]
}



Version two
{
  "formula": "LiTlNF2",
  "functional": "PBE",
  "state": "relaxed",
  "magnetic_moment_mub_per_atom": 0.2029,
  "n_ef_per_ev_atom": 0.3208,
  "cell": [[4.678, 0.000, 0.000], [0.000, 4.678, 0.000], [0.000, 0.000, 4.098]],
  "species": ["Tl", "N", "Li", "F", "F"],
  "fractional_positions": [[0.000, 0.000, 0.000], [0.000, 0.000, 0.500], [0.500, 0.500, 0.500], [0.000, 0.500, 0.000], [0.500, 0.000, 0.000]]
}



The data favor version one; the next most stable structure lies 167 meV/atom above it.